## ScAg3Hg (GGA-PBE)

Data for a relaxed ScAg3Hg crystal. Values from VASP.

formation enthalpy at 0 K	-0.02	eV/atom
energy relative to the lowest polymorph listed for this composition	0.000	eV per atom
M_tot	0.00	μB/f.u.
V	20.73	Å³ per atom
calculated total energy	-15.28	eV/f.u.

The structure in Quantum ESPRESSO input format:
```
&SYSTEM
  ibrav = 0, nat = 10, ntyp = 3
/
ATOMIC_SPECIES
Sc 44.96 Sc.upf
Hg 200.59 Hg.upf
Ag 107.87 Ag.upf
ATOMIC_POSITIONS angstrom
Sc 3.1251 4.6384 4.2194
Sc 3.1251 4.6384 0.0000
Hg 2.9539 2.7242 6.3291
Hg 1.4153 3.7608 2.1097
Ag 1.7486 0.2664 6.3291
Ag 0.3140 2.7089 7.8700
Ag 0.3140 2.7089 4.7882
Ag -0.4098 1.7207 2.1097
Ag 2.3926 1.3084 0.5688
Ag 2.3926 1.3084 3.6506
CELL_PARAMETERS angstrom
5.0907 0.1486 0.0000
-1.7743 4.7738 0.0000
0.0000 0.0000 8.4388
```

---

## ScAg3Hg (GGA-PBE)

Data for a relaxed ScAg3Hg crystal. Values from VASP.

formation enthalpy at 0 K	0.81	eV/atom
energy relative to the lowest polymorph listed for this composition	0.825	eV per atom
M_tot	0.00	μB/f.u.
V	29.70	Å³ per atom
calculated total energy	-11.16	eV/f.u.

The structure in Quantum ESPRESSO input format:
```
&SYSTEM
  ibrav = 0, nat = 5, ntyp = 3
/
ATOMIC_SPECIES
Ag 107.87 Ag.upf
Hg 200.59 Hg.upf
Sc 44.96 Sc.upf
ATOMIC_POSITIONS angstrom
Ag 2.6477 0.0000 0.0000
Ag 0.0000 0.0000 2.6477
Ag 0.0000 2.6477 0.0000
Hg 2.6477 2.6477 2.6477
Sc 0.0000 0.0000 0.0000
CELL_PARAMETERS angstrom
5.2954 0.0000 0.0000
0.0000 5.2954 0.0000
0.0000 0.0000 5.2954
```

---

## Sc3AgHg2 (GGA-PBE)

Data for a relaxed Sc3AgHg2 crystal. Values from VASP.

formation enthalpy at 0 K	-0.39	eV/atom
energy relative to the lowest polymorph listed for this composition	0.000	eV per atom
M_tot	0.00	μB/f.u.
V	21.27	Å³ per atom
calculated total energy	-24.76	eV/f.u.

The structure in Quantum ESPRESSO input format:
```
&SYSTEM
  ibrav = 0, nat = 12, ntyp = 3
/
ATOMIC_SPECIES
Hg 200.59 Hg.upf
Sc 44.96 Sc.upf
Ag 107.87 Ag.upf
ATOMIC_POSITIONS angstrom
Hg 0.0000 0.0000 6.0514
Hg 0.0000 0.0000 0.0000
Hg 0.0000 2.8491 2.0851
Hg 2.4674 1.4246 10.0177
Sc 0.0000 2.8491 5.0662
Sc 2.4674 1.4246 7.0366
Sc 2.4674 1.4246 1.0256
Sc 0.0000 0.0000 3.0616
Sc 0.0000 2.8491 11.0772
Sc 0.0000 0.0000 9.0412
Ag 0.0000 2.8491 8.0803
Ag 2.4674 1.4246 4.0225
CELL_PARAMETERS angstrom
4.9348 0.0000 0.0000
-2.4674 4.2737 0.0000
0.0000 0.0000 12.1028
```

---

## Sc2Ag2Hg (GGA-PBE)

Data for a relaxed Sc2Ag2Hg crystal. Values from VASP.

formation enthalpy at 0 K	-0.11	eV/atom
energy relative to the lowest polymorph listed for this composition	0.133	eV per atom
M_tot	0.00	μB/f.u.
V	21.92	Å³ per atom
calculated total energy	-19.21	eV/f.u.

The structure in Quantum ESPRESSO input format:
```
&SYSTEM
  ibrav = 0, nat = 10, ntyp = 3
/
ATOMIC_SPECIES
Sc 44.96 Sc.upf
Ag 107.87 Ag.upf
Hg 200.59 Hg.upf
ATOMIC_POSITIONS angstrom
Sc -2.2220 4.2415 2.4541
Sc -0.6616 0.3300 2.9019
Sc -1.4739 0.4815 7.0554
Sc -3.0343 4.3930 6.6076
Ag 0.8764 0.1564 5.3524
Ag -0.8598 3.1204 8.0848
Ag 0.3196 2.9267 1.9936
Ag -1.4166 5.8907 4.7260
Hg -1.8480 2.3615 4.7548
Hg 0.0000 0.0000 0.0000
CELL_PARAMETERS angstrom
-3.2753 6.9897 1.9013
-0.4206 -2.2667 7.6082
3.1557 1.3240 0.5689
```